# La3Pm4Dy4

A relaxed structure of La3Pm4Dy4 (GGA-PBE, Alexandria).

abc: 12.251 12.251 12.251
angles: 162.93 134.25 49.18
Positions (direct):
La (0.000, 0.000, 0.000)
La (0.391, 0.891, 0.500)
La (0.609, 0.109, 0.500)
Pm (0.031, 0.353, 0.679)
Pm (0.326, 0.647, 0.679)
Pm (0.674, 0.353, 0.321)
Pm (0.969, 0.647, 0.321)
Dy (0.258, 0.258, 0.000)
Dy (0.318, 0.500, 0.818)
Dy (0.682, 0.500, 0.182)
Dy (0.742, 0.742, 0.000)

Properties
**Energy above the most stable polymorph in this dataset**: 0.000 eV per atom
**Calculated density**: 7.1 g/cm3
**Total DFT energy (no corrections)**: -0.3388 Ry/atom
**ΔH_f (0 K)**: 0.135 eV per atom
**V**: 386 Å³/cell